1.
Crystalline KAl2I8 at its relaxed geometry, computed with PBE.

a = 16.9483 Å, b = 10.2465 Å, c = 7.6855 Å
α = 90.00°, β = 107.11°, γ = 90.00°
Closest atoms and distances in Å follow each position.
Space group C2/m (No. 12)
One atom of each set of equivalent atoms:
K (0.0000, 0.0000, 0.0000)  6 I 3.63-3.67
Al (0.1756, 0.0000, 0.6739)  4 I 2.54-2.58
I (0.0949, 0.2035, 0.7234)  1 Al 2.58
I (0.1865, 0.5000, 0.0764)  1 Al 2.55
I (0.1950, 0.0000, 0.3585)  1 Al 2.54

offset from the most stable computed form = 0.0000 eV/atom
total moment = 0.000 μB/f.u.


2.
Crystalline K4AlI7 at its relaxed geometry, computed with PBE.

a = 16.1822 Å, b = 7.2381 Å, c = 10.8577 Å
α = 90.00°, β = 108.58°, γ = 90.00°
Closest atoms and distances in Å follow each position.
Space group C2 (No. 5)
One atom of each set of equivalent atoms:
K (0.0770, 0.0000, 0.2487)  5 I 3.42-3.65
K (0.1413, 0.4878, 0.9661)  6 I 3.44-3.82
Al (0.0000, 0.5000, 0.5000)  3 I 2.56
I (0.0000, 0.8533, 0.5000)  1 Al 2.56
I (0.0691, 0.4966, 0.2688)  1 Al 3.06
I (0.1368, 0.9859, 0.9735)  5 K 3.42-3.64
I (0.1398, 0.3349, 0.6347)  1 Al 2.56

total moment = 0.000 μB/f.u.


3.
Crystalline K2LiAlI at its relaxed geometry, computed with PBE.

a = 6.8834 Å, b = 6.8834 Å, c = 4.9652 Å
α = 90.00°, β = 90.00°, γ = 90.00°
Closest atoms and distances in Å follow each position.
Space group P4/mmm (No. 123)
One atom of each set of equivalent atoms:
K (0.0000, 0.5000, 0.0000)  2 Li 3.44
Li (0.0000, 0.0000, 0.0000)  2 I 2.48
Al (0.5000, 0.5000, 0.5000)  8 K 4.24
I (0.0000, 0.0000, 0.5000)  2 Li 2.48

total moment = 0.996 μB/f.u.


4.
Crystalline KLiAl2I8 at its relaxed geometry, computed with PBE.

a = 7.4422 Å, b = 7.4422 Å, c = 10.5917 Å
α = 90.00°, β = 90.00°, γ = 120.00°
Closest atoms and distances in Å follow each position.
Space group P-3 (No. 147)
One atom of each set of equivalent atoms:
K (0.0000, 0.0000, 0.0000)  12 I 4.20-4.30
Li (0.0000, 0.0000, 0.5000)  6 I 3.04
Al (0.3333, 0.6667, 0.7470)  4 I 2.56-2.57
I (0.0106, 0.3290, 0.6756)  1 Al 2.57
I (0.3333, 0.6667, 0.9892)  1 Al 2.56

total moment = 0.000 μB/f.u.


For the records above, the corresponding DFT total energy values read -2.624; -2.747; -1.810; -2.799 eV per atom.
For the records above, the corresponding uncorrected formation energy values read -0.72; -1.17; 0.07; -0.89 eV/atom.